Below is crystalline Er2Tm2Rh3 at its relaxed geometry, with properties calculated at the PBE level.

Cell lengths 4.7472, 4.7485, 8.3150 Å; angles 106.71, 89.97, 119.99 degrees
Fractional positions:
Er  0.8751  0.7502  0.6250
Er  0.1249  0.2498  0.3750
Tm  0.6242  0.2486  0.8730
Tm  0.3758  0.7514  0.1270
Rh  0.0000  0.0000  0.0000
Rh  0.7489  0.4976  0.2466
Rh  0.2511  0.5024  0.7534

Values from the calculation:
Crystal system = monoclinic
ΔE_f = -5.9 eV/f.u.
Total energy = -46.067 eV for the cell shown